No. 1
The following is a DFT calculation (PBE) of a geometry-optimized SrSmTe2 structure.

The value obtained for the total moment is 0.0 μB per formula unit. As for the electronic total energy: -18.70 eV per formula unit. The calculation puts the formation energy without anion corrections at -1.503 eV/atom.

Cell lengths 4.4843, 4.4843, 15.6506 Å; angles 90.00, 90.00, 120.00 degrees
With the nearest neighbours (Å) after each atom.
Positions (direct):
Sr 0.3333 0.6667 0.2500  6 Te 3.32
Sr 0.6667 0.3333 0.7500  6 Te 3.32
Sm 0.0000 0.0000 0.0000  6 Te 3.17
Sm 0.0000 0.0000 0.5000  6 Te 3.17
Te 0.3333 0.6667 0.6169  3 Sm 3.17, 3 Sr 3.32
Te 0.3333 0.6667 0.8831  3 Sm 3.17, 3 Sr 3.32
Te 0.6667 0.3333 0.1169  3 Sm 3.17, 3 Sr 3.32
Te 0.6667 0.3333 0.3831  3 Sm 3.17, 3 Sr 3.32



No. 2
The following is a DFT calculation (PBE) of a geometry-optimized SrSm2Te4 structure.

The value obtained for the total moment is 0.0 μB per formula unit. As for the electronic total energy: -34.19 eV per formula unit. The calculation puts the formation energy without anion corrections at -1.500 eV/atom.

Cell lengths 7.6778, 7.6778, 15.4504 Å; angles 90.00, 90.00, 146.07 degrees
With the nearest neighbours (Å) after each atom.
Positions (direct):
Sr 0.1130 0.8870 0.7500  6 Te 3.28-3.46
Sr 0.8870 0.1130 0.2500  6 Te 3.28-3.46
Sm 0.3654 0.6346 0.5684  6 Te 3.07-3.19
Sm 0.3654 0.6346 0.9316  6 Te 3.07-3.19
Sm 0.6346 0.3654 0.0684  6 Te 3.07-3.19
Sm 0.6346 0.3654 0.4316  6 Te 3.07-3.19
Te 0.0000 0.0000 0.0000  4 Sm 3.17
Te 0.0000 0.0000 0.5000  4 Sm 3.17
Te 0.2731 0.7269 0.1183  3 Sm 3.12-3.19, 2 Sr 3.46
Te 0.2731 0.7269 0.3817  3 Sm 3.12-3.19, 2 Sr 3.46
Te 0.4500 0.5500 0.7500  2 Sm 3.07, 2 Sr 3.28
Te 0.5500 0.4500 0.2500  2 Sm 3.07, 2 Sr 3.28
Te 0.7269 0.2731 0.6183  3 Sm 3.12-3.19, 2 Sr 3.46
Te 0.7269 0.2731 0.8817  3 Sm 3.12-3.19, 2 Sr 3.46



No. 3
The following is a DFT calculation (PBE) of a geometry-optimized SrSmTe2 structure.

The value obtained for the total moment is 0.0 μB per formula unit. As for the electronic total energy: -18.83 eV per formula unit. The calculation puts the formation energy without anion corrections at -1.536 eV/atom.

Cell lengths 8.0616, 8.0616, 8.0616 Å; angles 32.64, 32.64, 32.64 degrees
With the nearest neighbours (Å) after each atom.
Positions (direct):
Sr 0.0000 0.0000 0.0000  6 Te 3.29
Sm 0.5000 0.5000 0.5000  6 Te 3.18
Te 0.2458 0.2458 0.2458  3 Sm 3.18, 3 Sr 3.29
Te 0.7542 0.7542 0.7542  3 Sm 3.18, 3 Sr 3.29



No. 4
The following is a DFT calculation (PBE) of a geometry-optimized SrSm6Te8 structure.

The value obtained for the total moment is 0.0 μB per formula unit. As for the electronic total energy: -76.98 eV per formula unit. The calculation puts the formation energy without anion corrections at -1.457 eV/atom.

Cell lengths 8.9001, 8.9001, 8.9001 Å; angles 60.00, 60.00, 60.00 degrees
With the nearest neighbours (Å) after each atom.
Positions (direct):
Sr 0.0000 0.0000 0.0000  6 Te 3.28
Sm 0.0000 0.0000 0.5000  6 Te 3.15
Sm 0.0000 0.5000 0.0000  6 Te 3.15
Sm 0.0000 0.5000 0.5000  6 Te 3.15
Sm 0.5000 0.0000 0.0000  6 Te 3.15
Sm 0.5000 0.0000 0.5000  6 Te 3.15
Sm 0.5000 0.5000 0.0000  6 Te 3.15
Te 0.2500 0.2500 0.2500  6 Sm 3.15
Te 0.2609 0.2609 0.7391  4 Sm 3.15, 1 Sr 3.28
Te 0.2609 0.7391 0.2609  4 Sm 3.15, 1 Sr 3.28
Te 0.2609 0.7391 0.7391  4 Sm 3.15, 1 Sr 3.28
Te 0.7391 0.2609 0.2609  4 Sm 3.15, 1 Sr 3.28
Te 0.7391 0.2609 0.7391  4 Sm 3.15, 1 Sr 3.28
Te 0.7391 0.7391 0.2609  4 Sm 3.15, 1 Sr 3.28
Te 0.7500 0.7500 0.7500  6 Sm 3.15